Record 1
# CsCa2Tl2 GGA-PBEsol optimized geometry
# - Formation enthalpy at 0 K: -0.009 eV per atom
# - E: -2.10 eV per atom
# - Theoretical density: 4.884 g/cm3
data_CsCa2Tl2
_chemical_formula_sum 'Cs2 Ca4 Tl4'
_symmetry_space_group_name_H-M 'I 4/m m m'
_symmetry_Int_Tables_number 139
_symmetry_space_group_name_Hall '-I 4 2'
_cell_length_a 5.8747
_cell_length_b 5.8747
_cell_length_c 12.2523
_cell_angle_alpha 90.00
_cell_angle_beta 90.00
_cell_angle_gamma 90.00
loop_
_atom_site_label
_atom_site_type_symbol
_atom_site_fract_x
_atom_site_fract_y
_atom_site_fract_z
Cs1 Cs 0.0000 0.0000 0.0000
Ca1 Ca 0.0000 0.0000 0.3424
Tl1 Tl 0.0000 0.5000 0.2500

=====

Record 2
# CsCa2Y2 GGA-PBEsol optimized geometry
# - Formation enthalpy at 0 K: 0.717 eV per atom
# - E: -3.05 eV per atom
# - Theoretical density: 2.984 g/cm3
data_CsCa2Y2
_chemical_formula_sum 'Cs2 Ca4 Y4'
_symmetry_space_group_name_H-M 'I 4/m m m'
_symmetry_Int_Tables_number 139
_symmetry_space_group_name_Hall '-I 4 2'
_cell_length_a 4.9333
_cell_length_b 4.9333
_cell_length_c 17.8755
_cell_angle_alpha 90.00
_cell_angle_beta 90.00
_cell_angle_gamma 90.00
loop_
_atom_site_label
_atom_site_type_symbol
_atom_site_fract_x
_atom_site_fract_y
_atom_site_fract_z
Cs1 Cs 0.0000 0.0000 0.0000
Ca1 Ca 0.0000 0.5000 0.2500
Y1 Y 0.0000 0.0000 0.4019

=====

Record 3
# Ca3Cu GGA-PBEsol optimized geometry
# - Formation enthalpy at 0 K: 0.037 eV per atom
# - E: -2.65 eV per atom
# - Theoretical density: 2.395 g/cm3
data_Ca3Cu
_chemical_formula_sum 'Ca6 Cu2'
_symmetry_space_group_name_H-M 'I m m 2'
_symmetry_Int_Tables_number 44
_cell_length_a 3.7489
_cell_length_b 10.5169
_cell_length_c 6.4640
_cell_angle_alpha 90.00
_cell_angle_beta 90.00
_cell_angle_gamma 90.00
loop_
_symmetry_equiv_pos_as_xyz
'x,y,z'
'-x,-y,z'
'-x,y,z'
'x,-y,z'
'x+1/2,y+1/2,z+1/2'
'-x+1/2,-y+1/2,z+1/2'
'-x+1/2,y+1/2,z+1/2'
'x+1/2,-y+1/2,z+1/2'
loop_
_atom_site_label
_atom_site_type_symbol
_atom_site_fract_x
_atom_site_fract_y
_atom_site_fract_z
Ca1 Ca 0.0000 0.0000 0.0000
Ca2 Ca 0.0000 0.1848 0.4876
Cu1 Cu 0.0000 0.5000 0.1651

=====

Q: The lowest theoretical density belongs to which entry?
A: Ca3Cu

=====

Q: Among the records above, which one has the lowest E?
A: CsCa2Y2

=====

Q: Which formula does entry 2 have?
A: CsCa2Y2